# 1
# La8HoCd2

A relaxed structure of La8HoCd2 (GGA-PBE, Alexandria).

Results
The calculation puts the total magnetization at 0.00 μB per cell. The calculation puts the total energy at -46.7 eV/f.u. The value obtained for the formation energy is -82 meV/atom. The calculation puts the density at 6.65 g/cm³. The value obtained for the density of states at the Fermi level is 16.5 states/eV/cell.

a b c (Å): 9.156 9.156 8.581
angles (deg): 112.20 112.20 34.56
Atoms (fractional coordinates):
La  0.050  0.050  0.241
La  0.146  0.146  0.701
La  0.312  0.312  0.547
La  0.398  0.398  0.033
La  0.602  0.602  0.967
La  0.688  0.688  0.453
La  0.854  0.854  0.299
La  0.950  0.950  0.759
Ho  0.500  0.500  0.500
Cd  0.221  0.221  0.133
Cd  0.779  0.779  0.867

# 2
# LaHoCd2

A relaxed structure of LaHoCd2 (GGA-PBE, Alexandria).

Results
The calculation puts the total magnetization at 0.41 μB per cell. The calculation puts the total energy at -12.6 eV/f.u. The value obtained for the formation energy is -319 meV/atom. The calculation puts the density at 7.81 g/cm³. The value obtained for the density of states at the Fermi level is 4.1 states/eV/cell.

a b c (Å): 3.760 3.760 7.946
angles (deg): 90.00 90.00 90.00
Atoms (fractional coordinates):
La  0.000  0.000  0.000
Ho  0.000  0.000  0.500
Cd  0.500  0.500  0.275
Cd  0.500  0.500  0.725

# 3
# LaHoCd2

A relaxed structure of LaHoCd2 (GGA-PBE, Alexandria).

Results
The calculation puts the total magnetization at 0.58 μB per cell. The calculation puts the total energy at -12.6 eV/f.u. The value obtained for the formation energy is -309 meV/atom. The calculation puts the density at 7.76 g/cm³. The value obtained for the density of states at the Fermi level is 4.6 states/eV/cell.

a b c (Å): 5.430 5.430 5.430
angles (deg): 60.00 60.00 60.00
Atoms (fractional coordinates):
La  0.000  0.000  0.000
Ho  0.500  0.500  0.500
Cd  0.250  0.250  0.250
Cd  0.750  0.750  0.750

# 4
# La3Ho2Cd

A relaxed structure of La3Ho2Cd (GGA-PBE, Alexandria).

Results
The calculation puts the total magnetization at 0.00 μB per cell. The calculation puts the total energy at -25.3 eV/f.u. The value obtained for the formation energy is -77 meV/atom. The calculation puts the density at 7.18 g/cm³. The value obtained for the density of states at the Fermi level is 9.0 states/eV/cell.

a b c (Å): 3.743 3.743 14.177
angles (deg): 90.00 90.00 90.00
Atoms (fractional coordinates):
La  0.000  0.000  0.000
La  0.000  0.000  0.350
La  0.000  0.000  0.650
Ho  0.500  0.500  0.172
Ho  0.500  0.500  0.828
Cd  0.500  0.500  0.500

# 5
# La3Ho4Cd

A relaxed structure of La3Ho4Cd (GGA-PBE, Alexandria).

Results
The calculation puts the total magnetization at 0.00 μB per cell. The calculation puts the total energy at -34.4 eV/f.u. The value obtained for the formation energy is -55 meV/atom. The calculation puts the density at 7.70 g/cm³. The value obtained for the density of states at the Fermi level is 12.9 states/eV/cell.

a b c (Å): 3.654 3.654 19.204
angles (deg): 90.00 90.00 90.00
Atoms (fractional coordinates):
La  0.000  0.000  0.000
La  0.000  0.000  0.266
La  0.000  0.000  0.734
Ho  0.500  0.500  0.132
Ho  0.500  0.500  0.398
Ho  0.500  0.500  0.602
Ho  0.500  0.500  0.868
Cd  0.000  0.000  0.500

# 6
# LaHoCd

A relaxed structure of LaHoCd (GGA-PBE, Alexandria).

Results
The calculation puts the total magnetization at 0.53 μB per cell. The calculation puts the total energy at -11.0 eV/f.u. The value obtained for the formation energy is -193 meV/atom. The calculation puts the density at 7.60 g/cm³. The value obtained for the density of states at the Fermi level is 3.5 states/eV/cell.

a b c (Å): 7.035 7.035 7.035
angles (deg): 149.21 149.21 44.10
Atoms (fractional coordinates):
La  0.000  0.000  0.000
Ho  0.309  0.309  0.000
Cd  0.671  0.671  0.000